Computed, not measured: a geometry-optimized ThCuSn2 structure at the PBE level of DFT.

Lattice parameters (Å, degrees): 4.467 4.467 9.750 90.00 90.00 90.00
Positions (direct):
Th1 0.000 0.500 0.236
Th2 0.500 0.000 0.764
Cu1 0.500 0.500 0.000
Cu2 0.000 0.000 0.000
Sn1 0.500 0.000 0.154
Sn2 0.000 0.500 0.846
Sn3 0.000 0.000 0.500
Sn4 0.500 0.500 0.500

The formation energy from the elements comes out at -0.425 eV per atom. The value obtained for the total energy is -42.44 eV for the cell shown.